DFT (PBE-GGA) results for a relaxed MgNiAs2 crystal.

Properties
- Volume: 138 Å³ per cell
- Raw total energy: -4.245 eV per atom
- Total magnetization: 0.0 μB per cell
- Formation energy: -0.0765 eV per atom

Cell lengths 3.6197, 5.0546, 7.5434 Å; angles 90.00, 90.00, 90.00 degrees
Space group Immm (No. 71)
Inequivalent atoms, fractional coordinates:
1 Mg 0.0000 0.0000 0.0000 [2 per cell]
2 Ni 0.0000 0.0000 0.5000 [2 per cell]
3 As 0.0000 0.5000 0.2128 [4 per cell]